Record 1
## Li2Mg4Ag2Hg (PBE)

Data for a geometry-optimized Li2Mg4Ag2Hg structure.

Geometry as CIF:
```
data_Li2Mg4Ag2Hg
_cell_length_a 5.474
_cell_length_b 5.838
_cell_length_c 6.655
_cell_angle_alpha 102.98
_cell_angle_beta 95.22
_cell_angle_gamma 116.16
_symmetry_space_group_name_H-M 'P 1'
_symmetry_Int_Tables_number 1
loop_
_symmetry_equiv_pos_as_xyz
'x,y,z'
loop_
_atom_site_label
_atom_site_type_symbol
_atom_site_fract_x
_atom_site_fract_y
_atom_site_fract_z
Li1 Li 0.227 0.383 0.393
Li2 Li 0.773 0.617 0.607
Mg1 Mg 0.189 0.857 0.364
Mg2 Mg 0.338 0.730 0.832
Mg3 Mg 0.662 0.270 0.168
Mg4 Mg 0.811 0.143 0.636
Ag1 Ag 0.386 0.256 0.763
Ag2 Ag 0.614 0.744 0.237
Hg1 Hg 0.000 0.000 0.000
```

Computed properties:
Total energy ... -17.4 eV/cell
Spin magnetization ... 0.0 Bohr magnetons per cell
Symmetry ... P-1, No. 2
ΔE_f ... -0.13 eV/atom

=====

Record 2
## Hf6CdIr (PBE)

Data for a geometry-optimized Hf6CdIr structure.

Geometry as CIF:
```
data_Hf6CdIr
_cell_length_a 5.693
_cell_length_b 5.693
_cell_length_c 5.427
_cell_angle_alpha 93.55
_cell_angle_beta 93.55
_cell_angle_gamma 105.34
_symmetry_space_group_name_H-M 'P 1'
_symmetry_Int_Tables_number 1
loop_
_symmetry_equiv_pos_as_xyz
'x,y,z'
loop_
_atom_site_label
_atom_site_type_symbol
_atom_site_fract_x
_atom_site_fract_y
_atom_site_fract_z
Hf1 Hf 0.027 0.632 0.269
Hf2 Hf 0.155 0.155 0.266
Hf3 Hf 0.368 0.973 0.731
Hf4 Hf 0.632 0.027 0.269
Hf5 Hf 0.845 0.845 0.734
Hf6 Hf 0.973 0.368 0.731
Cd1 Cd 0.500 0.500 0.000
Ir1 Ir 0.500 0.500 0.500
```

Computed properties:
Total energy ... -70.2 eV/cell
Spin magnetization ... 0.0 Bohr magnetons per cell
Symmetry ... C2/m, No. 12
ΔE_f ... -0.09 eV/atom

=====

Record 3
## NaAg2Bi2 (PBE)

Data for a geometry-optimized NaAg2Bi2 structure.

Geometry as CIF:
```
data_NaAg2Bi2
_cell_length_a 6.118
_cell_length_b 6.329
_cell_length_c 7.638
_cell_angle_alpha 79.47
_cell_angle_beta 74.61
_cell_angle_gamma 69.37
_symmetry_space_group_name_H-M 'P 1'
_symmetry_Int_Tables_number 1
loop_
_symmetry_equiv_pos_as_xyz
'x,y,z'
loop_
_atom_site_label
_atom_site_type_symbol
_atom_site_fract_x
_atom_site_fract_y
_atom_site_fract_z
Na1 Na 0.188 0.200 0.221
Na2 Na 0.812 0.800 0.779
Ag1 Ag 0.233 0.847 0.936
Ag2 Ag 0.392 0.812 0.550
Ag3 Ag 0.608 0.188 0.450
Ag4 Ag 0.767 0.153 0.064
Bi1 Bi 0.054 0.249 0.677
Bi2 Bi 0.446 0.380 0.802
Bi3 Bi 0.554 0.620 0.198
Bi4 Bi 0.946 0.751 0.323
```

Computed properties:
Total energy ... -30.1 eV/cell
Spin magnetization ... 0.0 Bohr magnetons per cell
Symmetry ... P-1, No. 2
ΔE_f ... -0.06 eV/atom

=====

Record 4
## Ca2HfBrCl (PBE)

Data for a geometry-optimized Ca2HfBrCl structure.

Geometry as CIF:
```
data_Ca2HfBrCl
_cell_length_a 5.668
_cell_length_b 5.668
_cell_length_c 4.672
_cell_angle_alpha 90.00
_cell_angle_beta 90.00
_cell_angle_gamma 90.00
_symmetry_space_group_name_H-M 'P 1'
_symmetry_Int_Tables_number 1
loop_
_symmetry_equiv_pos_as_xyz
'x,y,z'
loop_
_atom_site_label
_atom_site_type_symbol
_atom_site_fract_x
_atom_site_fract_y
_atom_site_fract_z
Ca1 Ca 0.000 0.500 0.000
Ca2 Ca 0.500 0.000 0.000
Hf1 Hf 0.000 0.000 0.500
Br1 Br 0.500 0.500 0.500
Cl1 Cl 0.000 0.000 0.000
```

Computed properties:
Total energy ... -18.2 eV/cell
Spin magnetization ... 0.0 Bohr magnetons per cell
Energy relative to the elements, uncorrected ... -0.144 eV/atom
Symmetry ... P4/mmm, No. 123

=====

Record 5
## NbPC3 (PBE)

Data for a geometry-optimized NbPC3 structure.

Geometry as CIF:
```
data_NbPC3
_cell_length_a 4.208
_cell_length_b 4.208
_cell_length_c 4.208
_cell_angle_alpha 90.00
_cell_angle_beta 90.00
_cell_angle_gamma 90.00
_symmetry_space_group_name_H-M 'P 1'
_symmetry_Int_Tables_number 1
loop_
_symmetry_equiv_pos_as_xyz
'x,y,z'
loop_
_atom_site_label
_atom_site_type_symbol
_atom_site_fract_x
_atom_site_fract_y
_atom_site_fract_z
Nb1 Nb 0.000 0.000 0.000
P1 P 0.500 0.500 0.500
C1 C 0.000 0.000 0.500
C2 C 0.000 0.500 0.000
C3 C 0.500 0.000 0.000
```

Computed properties:
Total energy ... -31.0 eV/cell
Spin magnetization ... 0.0 Bohr magnetons per cell
Symmetry ... Pm-3m, No. 221
ΔE_f ... 2.43 eV/atom

=====

Record 6
## LiHg2I2 (PBE)

Data for a geometry-optimized LiHg2I2 structure.

Geometry as CIF:
```
data_LiHg2I2
_cell_length_a 8.510
_cell_length_b 8.510
_cell_length_c 4.695
_cell_angle_alpha 90.00
_cell_angle_beta 90.00
_cell_angle_gamma 90.00
_symmetry_space_group_name_H-M 'P 1'
_symmetry_Int_Tables_number 1
loop_
_symmetry_equiv_pos_as_xyz
'x,y,z'
loop_
_atom_site_label
_atom_site_type_symbol
_atom_site_fract_x
_atom_site_fract_y
_atom_site_fract_z
Li1 Li 0.000 0.000 0.000
Li2 Li 0.500 0.500 0.000
Hg1 Hg 0.118 0.382 0.000
Hg2 Hg 0.382 0.882 0.000
Hg3 Hg 0.618 0.118 0.000
Hg4 Hg 0.882 0.618 0.000
I1 I 0.200 0.700 0.500
I2 I 0.300 0.200 0.500
I3 I 0.700 0.800 0.500
I4 I 0.800 0.300 0.500
```

Computed properties:
Total energy ... -13.3 eV/cell
Spin magnetization ... 0.0 Bohr magnetons per cell
Energy relative to the elements, uncorrected ... -0.208 eV/atom
Symmetry ... P4/mbm, No. 127

=====

Record 7
## AlRu2W (PBE)

Data for a geometry-optimized AlRu2W structure.

Geometry as CIF:
```
data_AlRu2W
_cell_length_a 2.818
_cell_length_b 2.818
_cell_length_c 7.301
_cell_angle_alpha 90.00
_cell_angle_beta 90.00
_cell_angle_gamma 90.00
_symmetry_space_group_name_H-M 'P 1'
_symmetry_Int_Tables_number 1
loop_
_symmetry_equiv_pos_as_xyz
'x,y,z'
loop_
_atom_site_label
_atom_site_type_symbol
_atom_site_fract_x
_atom_site_fract_y
_atom_site_fract_z
Al1 Al 0.000 0.000 0.000
Ru1 Ru 0.000 0.000 0.474
Ru2 Ru 0.500 0.500 0.226
W1 W 0.500 0.500 0.735
```

Computed properties:
Total energy ... -35.5 eV/cell
Spin magnetization ... 0.0 Bohr magnetons per cell
Symmetry ... P4mm, No. 99
ΔE_f ... -0.07 eV/atom

=====

Record 8
## La6Si2S3I (PBE)

Data for a geometry-optimized La6Si2S3I structure.

Geometry as CIF:
```
data_La6Si2S3I
_cell_length_a 9.603
_cell_length_b 9.603
_cell_length_c 8.710
_cell_angle_alpha 101.91
_cell_angle_beta 101.91
_cell_angle_gamma 25.86
_symmetry_space_group_name_H-M 'P 1'
_symmetry_Int_Tables_number 1
loop_
_symmetry_equiv_pos_as_xyz
'x,y,z'
loop_
_atom_site_label
_atom_site_type_symbol
_atom_site_fract_x
_atom_site_fract_y
_atom_site_fract_z
La1 La 0.003 0.003 0.283
La2 La 0.322 0.322 0.904
La3 La 0.333 0.333 0.417
La4 La 0.667 0.667 0.583
La5 La 0.678 0.678 0.096
La6 La 0.997 0.997 0.717
Si1 Si 0.165 0.165 0.330
Si2 Si 0.835 0.835 0.670
S1 S 0.163 0.163 0.836
S2 S 0.500 0.500 0.500
S3 S 0.837 0.837 0.164
I1 I 0.500 0.500 0.000
```

Computed properties:
Total energy ... -72.3 eV/cell
Spin magnetization ... 0.0 Bohr magnetons per cell
Energy relative to the elements, uncorrected ... -1.495 eV/atom
Symmetry ... C2/m, No. 12

=====

Record 9
## TlGaGe3 (PBE)

Data for a geometry-optimized TlGaGe3 structure.

Geometry as CIF:
```
data_TlGaGe3
_cell_length_a 5.038
_cell_length_b 5.038
_cell_length_c 5.038
_cell_angle_alpha 90.00
_cell_angle_beta 90.00
_cell_angle_gamma 90.00
_symmetry_space_group_name_H-M 'P 1'
_symmetry_Int_Tables_number 1
loop_
_symmetry_equiv_pos_as_xyz
'x,y,z'
loop_
_atom_site_label
_atom_site_type_symbol
_atom_site_fract_x
_atom_site_fract_y
_atom_site_fract_z
Tl1 Tl 0.000 0.000 0.000
Ga1 Ga 0.500 0.500 0.500
Ge1 Ge 0.000 0.500 0.500
Ge2 Ge 0.500 0.000 0.500
Ge3 Ge 0.500 0.500 0.000
```

Computed properties:
Total energy ... -16.6 eV/cell
Spin magnetization ... 0.0 Bohr magnetons per cell
Symmetry ... Pm-3m, No. 221
ΔE_f ... 0.53 eV/atom

=====

Record 10
## Zr2BePd (PBE)

Data for a geometry-optimized Zr2BePd structure.

Geometry as CIF:
```
data_Zr2BePd
_cell_length_a 3.291
_cell_length_b 3.291
_cell_length_c 6.445
_cell_angle_alpha 90.00
_cell_angle_beta 90.00
_cell_angle_gamma 90.00
_symmetry_space_group_name_H-M 'P 1'
_symmetry_Int_Tables_number 1
loop_
_symmetry_equiv_pos_as_xyz
'x,y,z'
loop_
_atom_site_label
_atom_site_type_symbol
_atom_site_fract_x
_atom_site_fract_y
_atom_site_fract_z
Zr1 Zr 0.000 0.000 0.235
Zr2 Zr 0.000 0.000 0.765
Be1 Be 0.500 0.500 0.000
Pd1 Pd 0.500 0.500 0.500
```

Computed properties:
Total energy ... -27.3 eV/cell
Spin magnetization ... 0.0 Bohr magnetons per cell
Symmetry ... P4/mmm, No. 123
ΔE_f ... -0.32 eV/atom

=====

Record 11
## NaLa4Ho3Te8 (PBE)

Data for a geometry-optimized NaLa4Ho3Te8 structure.

Geometry as CIF:
```
data_NaLa4Ho3Te8
_cell_length_a 8.968
_cell_length_b 8.968
_cell_length_c 8.968
_cell_angle_alpha 59.80
_cell_angle_beta 59.80
_cell_angle_gamma 59.80
_symmetry_space_group_name_H-M 'P 1'
_symmetry_Int_Tables_number 1
loop_
_symmetry_equiv_pos_as_xyz
'x,y,z'
loop_
_atom_site_label
_atom_site_type_symbol
_atom_site_fract_x
_atom_site_fract_y
_atom_site_fract_z
Na1 Na 0.000 0.000 0.000
La1 La 0.000 0.000 0.500
La2 La 0.000 0.500 0.000
La3 La 0.500 0.000 0.000
La4 La 0.500 0.500 0.500
Ho1 Ho 0.000 0.500 0.500
Ho2 Ho 0.500 0.000 0.500
Ho3 Ho 0.500 0.500 0.000
Te1 Te 0.245 0.245 0.743
Te2 Te 0.245 0.743 0.245
Te3 Te 0.256 0.256 0.256
Te4 Te 0.257 0.755 0.755
Te5 Te 0.743 0.245 0.245
Te6 Te 0.744 0.744 0.744
Te7 Te 0.755 0.257 0.755
Te8 Te 0.755 0.755 0.257
```

Computed properties:
Total energy ... -82.7 eV/cell
Spin magnetization ... 0.0 Bohr magnetons per cell
Energy relative to the elements, uncorrected ... -1.424 eV/atom
Symmetry ... R-3m, No. 166

=====

Record 12
## MgTcRu2 (PBE)

Data for a geometry-optimized MgTcRu2 structure.

Geometry as CIF:
```
data_MgTcRu2
_cell_length_a 2.743
_cell_length_b 2.743
_cell_length_c 7.993
_cell_angle_alpha 90.00
_cell_angle_beta 90.00
_cell_angle_gamma 90.00
_symmetry_space_group_name_H-M 'P 1'
_symmetry_Int_Tables_number 1
loop_
_symmetry_equiv_pos_as_xyz
'x,y,z'
loop_
_atom_site_label
_atom_site_type_symbol
_atom_site_fract_x
_atom_site_fract_y
_atom_site_fract_z
Mg1 Mg 0.000 0.000 0.000
Tc1 Tc 0.500 0.500 0.725
Ru1 Ru 0.000 0.000 0.485
Ru2 Ru 0.500 0.500 0.259
```

Computed properties:
Total energy ... -29.8 eV/cell
Spin magnetization ... 0.0 Bohr magnetons per cell
Symmetry ... P4mm, No. 99
ΔE_f ... 0.18 eV/atom